The following is a DFT calculation (PBE) of an optimized crystal structure of NdAlGaCu.

DFT total energy	-4.339	eV/atom
polymorph energy (0 for the lowest one)	0.0	kJ per mole of atoms
calculated volume	20.51	Å³/atom
density	6.163	g cm⁻³
E_form	-430.3	meV/atom

Unit cell a=4.1810 b=4.1810 c=16.2579 alpha=90.00 beta=90.00 gamma=120.00
Last column: nearest neighbours and their distance in Å.
Space group R3m (No. 160, hexagonal axes)
Symmetry-distinct sites (fractional):
Nd1 0.0000 0.0000 0.0000 x3  4 Ga 3.12-3.45, 4 Al 3.17-3.36
Al1 0.0000 0.0000 0.7935 x3  3 Cu 2.50, 3 Ga 2.78
Ga1 0.0000 0.0000 0.2122 x3  3 Cu 2.52, 3 Al 2.78
Cu1 0.0000 0.0000 0.5003 x3  3 Al 2.50, 3 Ga 2.52